No. 1
First-principles (GGA-PBE) data for a relaxed Pr12Sm5Dy2 crystal, as listed in the Alexandria database.

Lattice parameters (Å, degrees): 10.4032 10.4032 10.1947 113.82 113.82 42.81
Closest atoms and distances in Å follow each position.
Fractional positions:
Pr  0.0079  0.0079  0.2146  1 Sm 2.98, 2 Dy 3.11
Pr  0.0747  0.5938  0.4996  4 Pr 3.27-3.65
Pr  0.0898  0.5906  0.1495  6 Pr 3.50-3.80, 4 Sm 3.67-3.89
Pr  0.4062  0.9253  0.5004  4 Pr 3.27-3.65
Pr  0.4094  0.9102  0.8505  6 Pr 3.50-3.80, 4 Sm 3.67-3.89
Pr  0.4921  0.4921  0.6726  5 Pr 3.42-3.66, 2 Dy 3.61
Pr  0.5079  0.5079  0.3274  5 Pr 3.42-3.66, 2 Dy 3.61
Pr  0.5906  0.0898  0.1495  6 Pr 3.50-3.80, 4 Sm 3.67-3.89
Pr  0.5938  0.0747  0.4996  4 Pr 3.27-3.65
Pr  0.9102  0.4094  0.8505  6 Pr 3.50-3.80, 4 Sm 3.67-3.89
Pr  0.9253  0.4062  0.5004  4 Pr 3.27-3.65
Pr  0.9921  0.9921  0.7854  1 Sm 2.98, 2 Dy 3.11
Sm  0.0000  0.0000  0.5000  2 Pr 2.98
Sm  0.1757  0.1757  0.1710  5 Pr 3.47-3.80, 2 Sm 3.81, 2 Dy 3.82
Sm  0.3221  0.3221  0.8027  2 Dy 3.50, 8 Pr 3.73-3.89, 2 Sm 3.81
Sm  0.6779  0.6779  0.1973  2 Dy 3.50, 8 Pr 3.73-3.89, 2 Sm 3.81
Sm  0.8243  0.8243  0.8290  5 Pr 3.47-3.80, 2 Sm 3.81, 2 Dy 3.82
Dy  0.2989  0.7011  0.0000  1 Dy 3.05, 2 Pr 3.11
Dy  0.7011  0.2989  0.0000  1 Dy 3.05, 2 Pr 3.11

## Properties
Formation energy = 163 meV/atom
Excess energy over the best structure of this formula in the dataset = 42 meV/atom
Final energy = -0.3368 Ry/atom

No. 2
First-principles (GGA-PBE) data for a relaxed Pr3Sm5Dy crystal, as listed in the Alexandria database.

Lattice parameters (Å, degrees): 9.7012 9.7012 9.9945 120.82 120.82 74.00
Closest atoms and distances in Å follow each position.
Fractional positions:
Pr  0.0000  0.0000  0.0000  2 Pr 3.10, 2 Dy 3.39
Pr  0.0052  0.0052  0.3152  1 Pr 3.10, 5 Sm 3.25-3.46, 1 Dy 3.43
Pr  0.4837  0.4837  0.1479  1 Dy 3.26, 4 Sm 3.28-3.64, 2 Pr 3.30-3.36
Pr  0.5000  0.5000  0.5000  4 Sm 2.96-3.21
Pr  0.5163  0.5163  0.8521  1 Dy 3.26, 4 Sm 3.28-3.64, 2 Pr 3.30-3.36
Pr  0.9948  0.9948  0.6848  1 Pr 3.10, 5 Sm 3.25-3.46, 1 Dy 3.43
Sm  0.0946  0.5982  0.7575  2 Sm 3.36-3.40, 2 Pr 3.54-3.64
Sm  0.2250  0.2250  0.7276  3 Pr 3.25-3.48, 3 Sm 3.29-3.40, 1 Dy 3.41
Sm  0.2466  0.7534  0.5000  1 Pr 2.96
Sm  0.2747  0.2747  0.4533  3 Pr 3.21-3.46, 3 Sm 3.29-3.36, 1 Dy 3.37
Sm  0.4018  0.9054  0.2425  2 Sm 3.36-3.40, 2 Pr 3.54-3.64
Sm  0.5982  0.0946  0.7575  2 Sm 3.36-3.40, 2 Pr 3.54-3.64
Sm  0.7253  0.7253  0.5467  3 Pr 3.21-3.46, 3 Sm 3.29-3.36, 1 Dy 3.37
Sm  0.7534  0.2466  0.5000  1 Pr 2.96
Sm  0.7750  0.7750  0.2724  3 Pr 3.25-3.48, 3 Sm 3.29-3.40, 1 Dy 3.41
Sm  0.9054  0.4018  0.2425  2 Sm 3.36-3.40, 2 Pr 3.54-3.64
Dy  0.2531  0.2531  0.0952  4 Pr 3.26-3.43, 2 Sm 3.37-3.41
Dy  0.7469  0.7469  0.9048  4 Pr 3.26-3.43, 2 Sm 3.37-3.41

## Properties
Formation energy = 489 meV/atom
Final energy = -0.3114 Ry/atom

No. 3
First-principles (GGA-PBE) data for a relaxed PrSm6Dy12 crystal, as listed in the Alexandria database.

Lattice parameters (Å, degrees): 8.5746 8.5746 8.5746 88.78 88.78 88.78
Closest atoms and distances in Å follow each position.
Fractional positions:
Pr  0.0000  0.0000  0.0000  6 Sm 3.53, 6 Dy 3.57
Sm  0.0902  0.2578  0.6865  7 Dy 3.31-3.70, 1 Pr 3.53, 2 Sm 3.54
Sm  0.2578  0.6865  0.0902  7 Dy 3.31-3.70, 1 Pr 3.53, 2 Sm 3.54
Sm  0.3135  0.9098  0.7422  7 Dy 3.31-3.70, 1 Pr 3.53, 2 Sm 3.54
Sm  0.6865  0.0902  0.2578  7 Dy 3.31-3.70, 1 Pr 3.53, 2 Sm 3.54
Sm  0.7422  0.3135  0.9098  7 Dy 3.31-3.70, 1 Pr 3.53, 2 Sm 3.54
Sm  0.9098  0.7422  0.3135  7 Dy 3.31-3.70, 1 Pr 3.53, 2 Sm 3.54
Dy  0.0113  0.3540  0.2100  4 Dy 3.41-3.58, 4 Sm 3.52-3.70, 1 Pr 3.57
Dy  0.2100  0.0113  0.3540  4 Dy 3.41-3.58, 4 Sm 3.52-3.70, 1 Pr 3.57
Dy  0.2272  0.5626  0.4578  6 Dy 3.28-3.56, 3 Sm 3.31-3.45
Dy  0.3540  0.2100  0.0113  4 Dy 3.41-3.58, 4 Sm 3.52-3.70, 1 Pr 3.57
Dy  0.4374  0.5422  0.7728  6 Dy 3.28-3.56, 3 Sm 3.31-3.45
Dy  0.4578  0.2272  0.5626  6 Dy 3.28-3.56, 3 Sm 3.31-3.45
Dy  0.5422  0.7728  0.4374  6 Dy 3.28-3.56, 3 Sm 3.31-3.45
Dy  0.5626  0.4578  0.2272  6 Dy 3.28-3.56, 3 Sm 3.31-3.45
Dy  0.6460  0.7900  0.9887  4 Dy 3.41-3.58, 4 Sm 3.52-3.70, 1 Pr 3.57
Dy  0.7728  0.4374  0.5422  6 Dy 3.28-3.56, 3 Sm 3.31-3.45
Dy  0.7900  0.9887  0.6460  4 Dy 3.41-3.58, 4 Sm 3.52-3.70, 1 Pr 3.57
Dy  0.9887  0.6460  0.7900  4 Dy 3.41-3.58, 4 Sm 3.52-3.70, 1 Pr 3.57

## Properties
Formation energy = 153 meV/atom
Excess energy over the best structure of this formula in the dataset = 137 meV/atom
Final energy = -0.3304 Ry/atom

No. 4
First-principles (GGA-PBE) data for a relaxed PrSm6Dy4 crystal, as listed in the Alexandria database.

Lattice parameters (Å, degrees): 5.6547 5.6547 25.8255 90.00 90.00 117.46
Closest atoms and distances in Å follow each position.
Fractional positions:
Pr  0.2155  0.7845  0.7500  3 Sm 3.28-3.32
Pr  0.7845  0.2155  0.2500  3 Sm 3.28-3.32
Sm  0.1177  0.8823  0.1808  4 Dy 3.55-3.67, 5 Sm 3.57-3.82, 3 Pr 3.68-3.80
Sm  0.1177  0.8823  0.3192  4 Dy 3.55-3.67, 5 Sm 3.57-3.82, 3 Pr 3.68-3.80
Sm  0.2049  0.7951  0.6002  7 Dy 3.35-3.74
Sm  0.2049  0.7951  0.8998  7 Dy 3.35-3.74
Sm  0.4452  0.5548  0.2500  3 Pr 3.28-3.32, 2 Dy 3.29, 2 Sm 3.64
Sm  0.5000  0.5000  0.0000  8 Dy 3.20-3.58
Sm  0.5000  0.5000  0.5000  8 Dy 3.20-3.58
Sm  0.5548  0.4452  0.7500  3 Pr 3.28-3.32, 2 Dy 3.29, 2 Sm 3.64
Sm  0.7951  0.2049  0.1002  7 Dy 3.35-3.74
Sm  0.7951  0.2049  0.3998  7 Dy 3.35-3.74
Sm  0.8823  0.1177  0.6808  4 Dy 3.55-3.67, 5 Sm 3.57-3.82, 3 Pr 3.68-3.80
Sm  0.8823  0.1177  0.8192  4 Dy 3.55-3.67, 5 Sm 3.57-3.82, 3 Pr 3.68-3.80
Dy  0.1480  0.8520  0.0431  8 Sm 3.45-3.74, 2 Dy 3.57-3.62
Dy  0.1480  0.8520  0.4569  8 Sm 3.45-3.74, 2 Dy 3.57-3.62
Dy  0.4504  0.5496  0.1226  6 Sm 3.20-3.55, 1 Dy 3.57
Dy  0.4504  0.5496  0.3774  6 Sm 3.20-3.55, 1 Dy 3.57
Dy  0.5496  0.4504  0.6226  6 Sm 3.20-3.55, 1 Dy 3.57
Dy  0.5496  0.4504  0.8774  6 Sm 3.20-3.55, 1 Dy 3.57
Dy  0.8520  0.1480  0.5431  8 Sm 3.45-3.74, 2 Dy 3.57-3.62
Dy  0.8520  0.1480  0.9569  8 Sm 3.45-3.74, 2 Dy 3.57-3.62

## Properties
Formation energy = 119 meV/atom
Excess energy over the best structure of this formula in the dataset = 0 meV/atom
Final energy = -0.3354 Ry/atom

No. 5
First-principles (GGA-PBE) data for a relaxed Pr2SmDy4 crystal, as listed in the Alexandria database.

Lattice parameters (Å, degrees): 7.7850 7.7850 8.1927 90.12 90.12 90.00
Closest atoms and distances in Å follow each position.
Fractional positions:
Pr  0.0000  0.0000  0.0000  8 Dy 3.60-3.61, 4 Pr 3.89
Pr  0.0000  0.0000  0.5000  8 Dy 3.29-3.31
Pr  0.0000  0.5000  0.0000  8 Dy 3.59, 2 Pr 3.89, 2 Sm 3.89
Pr  0.5000  0.0000  0.0000  8 Dy 3.59, 2 Pr 3.89, 2 Sm 3.89
Sm  0.5000  0.5000  0.0000  8 Dy 3.57-3.58, 4 Pr 3.89
Sm  0.5000  0.5000  0.5000  8 Dy 3.26-3.27
Dy  0.2507  0.7472  0.7187  2 Sm 3.27-3.58, 4 Pr 3.30-3.60, 1 Dy 3.58
Dy  0.2518  0.2518  0.2812  2 Sm 3.26-3.58, 4 Pr 3.31-3.60, 1 Dy 3.58
Dy  0.2516  0.2516  0.7186  2 Sm 3.27-3.57, 4 Pr 3.29-3.61, 1 Dy 3.58
Dy  0.2528  0.7493  0.2813  2 Sm 3.27-3.58, 4 Pr 3.30-3.60, 1 Dy 3.58
Dy  0.7472  0.2507  0.7187  2 Sm 3.27-3.58, 4 Pr 3.30-3.60, 1 Dy 3.58
Dy  0.7484  0.7484  0.2814  2 Sm 3.27-3.57, 4 Pr 3.29-3.61, 1 Dy 3.58
Dy  0.7482  0.7482  0.7188  2 Sm 3.26-3.58, 4 Pr 3.31-3.60, 1 Dy 3.58
Dy  0.7493  0.2528  0.2813  2 Sm 3.27-3.58, 4 Pr 3.30-3.60, 1 Dy 3.58

## Properties
Formation energy = 312 meV/atom
Excess energy over the best structure of this formula in the dataset = 124 meV/atom
Final energy = -0.3202 Ry/atom

No. 6
First-principles (GGA-PBE) data for a relaxed PrSm6Dy12 crystal, as listed in the Alexandria database.

Lattice parameters (Å, degrees): 9.4626 9.4626 9.4626 110.92 110.92 110.92
Closest atoms and distances in Å follow each position.
Fractional positions:
Pr  0.0000  0.0000  0.0000  12 Dy 3.58
Sm  0.0537  0.5784  0.3688  9 Dy 3.56-3.59, 3 Sm 3.57-3.59
Sm  0.3688  0.0537  0.5784  9 Dy 3.56-3.59, 3 Sm 3.57-3.59
Sm  0.4216  0.6312  0.9463  9 Dy 3.56-3.59, 3 Sm 3.57-3.59
Sm  0.5784  0.3688  0.0537  9 Dy 3.56-3.59, 3 Sm 3.57-3.59
Sm  0.6312  0.9463  0.4216  9 Dy 3.56-3.59, 3 Sm 3.57-3.59
Sm  0.9463  0.4216  0.6312  9 Dy 3.56-3.59, 3 Sm 3.57-3.59
Dy  0.1056  0.1578  0.7367  5 Sm 3.57-3.59, 6 Dy 3.57-3.58, 1 Pr 3.58
Dy  0.1578  0.7367  0.1056  5 Sm 3.57-3.59, 6 Dy 3.57-3.58, 1 Pr 3.58
Dy  0.2109  0.3162  0.4744  4 Sm 3.56-3.58, 7 Dy 3.57-3.58, 1 Pr 3.58
Dy  0.2633  0.8944  0.8422  5 Sm 3.57-3.59, 6 Dy 3.57-3.58, 1 Pr 3.58
Dy  0.3162  0.4744  0.2109  4 Sm 3.56-3.58, 7 Dy 3.57-3.58, 1 Pr 3.58
Dy  0.4744  0.2110  0.3162  4 Sm 3.56-3.58, 7 Dy 3.57-3.58, 1 Pr 3.58
Dy  0.5256  0.7890  0.6838  4 Sm 3.56-3.58, 7 Dy 3.57-3.58, 1 Pr 3.58
Dy  0.6838  0.5256  0.7891  4 Sm 3.56-3.58, 7 Dy 3.57-3.58, 1 Pr 3.58
Dy  0.7367  0.1056  0.1578  5 Sm 3.57-3.59, 6 Dy 3.57-3.58, 1 Pr 3.58
Dy  0.7891  0.6838  0.5256  4 Sm 3.56-3.58, 7 Dy 3.57-3.58, 1 Pr 3.58
Dy  0.8422  0.2633  0.8944  5 Sm 3.57-3.59, 6 Dy 3.57-3.58, 1 Pr 3.58
Dy  0.8944  0.8422  0.2633  5 Sm 3.57-3.59, 6 Dy 3.57-3.58, 1 Pr 3.58

## Properties
Formation energy = 16 meV/atom
Excess energy over the best structure of this formula in the dataset = 0 meV/atom
Final energy = -0.3405 Ry/atom

No. 7
First-principles (GGA-PBE) data for a relaxed Pr2Sm3Dy7 crystal, as listed in the Alexandria database.

Lattice parameters (Å, degrees): 5.8523 3.5974 18.9421 90.00 93.28 90.00
Closest atoms and distances in Å follow each position.
Fractional positions:
Pr  0.2086  0.0000  0.2927  3 Dy 3.20-3.38
Pr  0.7914  0.0000  0.7073  3 Dy 3.20-3.38
Sm  0.0000  0.0000  0.0000  8 Dy 3.36-3.43, 2 Sm 3.60
Sm  0.2782  0.5000  0.6306  2 Sm 3.60, 6 Dy 3.66-3.87, 4 Pr 3.72-3.73
Sm  0.7218  0.5000  0.3694  2 Sm 3.60, 6 Dy 3.66-3.87, 4 Pr 3.72-3.73
Dy  0.1872  0.5000  0.1415  7 Dy 3.33-3.60, 2 Sm 3.36, 2 Pr 3.38
Dy  0.2422  0.0000  0.4620  1 Pr 3.20, 2 Dy 3.25-3.27
Dy  0.3111  0.0000  0.8281  8 Dy 3.46-3.83, 2 Pr 3.70-3.72, 1 Sm 3.82
Dy  0.5000  0.5000  0.0000  4 Dy 3.33-3.60, 4 Sm 3.43
Dy  0.6889  0.0000  0.1719  8 Dy 3.46-3.83, 2 Pr 3.70-3.72, 1 Sm 3.82
Dy  0.7578  0.0000  0.5380  1 Pr 3.20, 2 Dy 3.25-3.27
Dy  0.8128  0.5000  0.8585  7 Dy 3.33-3.60, 2 Sm 3.36, 2 Pr 3.38

## Properties
Formation energy = 87 meV/atom
Excess energy over the best structure of this formula in the dataset = 5 meV/atom
Final energy = -0.3362 Ry/atom

No. 8
First-principles (GGA-PBE) data for a relaxed Pr4SmDy crystal, as listed in the Alexandria database.

Lattice parameters (Å, degrees): 6.2212 6.2212 11.7405 118.21 118.21 32.78
Closest atoms and distances in Å follow each position.
Fractional positions:
Pr  0.1867  0.1867  0.3426  1 Dy 3.51, 7 Pr 3.51-3.90, 3 Sm 3.53-3.70
Pr  0.1888  0.1888  0.8451  7 Pr 3.51-3.90, 3 Dy 3.53-3.68, 1 Sm 3.53
Pr  0.8112  0.8112  0.1549  7 Pr 3.51-3.90, 3 Dy 3.53-3.68, 1 Sm 3.53
Pr  0.8133  0.8133  0.6574  1 Dy 3.51, 7 Pr 3.51-3.90, 3 Sm 3.53-3.70
Sm  0.0000  0.0000  0.5000  2 Sm 3.51, 8 Pr 3.53-3.70
Dy  0.0000  0.0000  0.0000  8 Pr 3.51-3.68, 2 Dy 3.51

## Properties
Formation energy = 172 meV/atom
Excess energy over the best structure of this formula in the dataset = 154 meV/atom
Final energy = -0.3357 Ry/atom

No. 9
First-principles (GGA-PBE) data for a relaxed Pr5Sm2Dy4 crystal, as listed in the Alexandria database.

Lattice parameters (Å, degrees): 9.1477 9.1477 11.7617 93.88 93.88 22.54
Closest atoms and distances in Å follow each position.
Fractional positions:
Pr  0.0000  0.0000  0.0000  6 Dy 3.56-3.59, 6 Pr 3.58-3.68
Pr  0.3237  0.3237  0.9290  4 Dy 3.51-3.71, 6 Pr 3.58-3.69, 2 Sm 3.79
Pr  0.4039  0.4039  0.4645  4 Dy 3.36-3.60, 3 Pr 3.49-3.58, 3 Sm 3.52-3.62
Pr  0.5961  0.5961  0.5355  4 Dy 3.36-3.60, 3 Pr 3.49-3.58, 3 Sm 3.52-3.62
Pr  0.6763  0.6763  0.0710  4 Dy 3.51-3.71, 6 Pr 3.58-3.69, 2 Sm 3.79
Sm  0.2165  0.2165  0.3529  5 Pr 3.52-3.79, 2 Sm 3.58, 4 Dy 3.68-3.83
Sm  0.7835  0.7835  0.6471  5 Pr 3.52-3.79, 2 Sm 3.58, 4 Dy 3.68-3.83
Dy  0.1401  0.1401  0.7968  6 Pr 3.54-3.71, 4 Dy 3.58-3.61, 2 Sm 3.68
Dy  0.4665  0.4665  0.7401  5 Pr 3.36-3.56, 4 Dy 3.58-3.61
Dy  0.5335  0.5335  0.2599  5 Pr 3.36-3.56, 4 Dy 3.58-3.61
Dy  0.8599  0.8599  0.2032  6 Pr 3.54-3.71, 4 Dy 3.58-3.61, 2 Sm 3.68

## Properties
Formation energy = 72 meV/atom
Excess energy over the best structure of this formula in the dataset = 0 meV/atom
Final energy = -0.3404 Ry/atom

No. 10
First-principles (GGA-PBE) data for a relaxed Pr3Sm8Dy3 crystal, as listed in the Alexandria database.

Lattice parameters (Å, degrees): 9.8245 9.8245 9.8245 145.98 112.43 77.85
Closest atoms and distances in Å follow each position.
Fractional positions:
Pr  0.0000  0.0000  0.0000  4 Dy 3.63, 4 Pr 3.99, 4 Sm 4.03
Pr  0.1812  0.6812  0.5000  2 Dy 3.54, 8 Sm 3.69-3.76
Pr  0.8188  0.3188  0.5000  2 Dy 3.54, 8 Sm 3.69-3.76
Sm  0.1192  0.2795  0.8397  6 Sm 3.34-3.59, 2 Pr 3.69, 1 Dy 3.69
Sm  0.2366  0.8973  0.3393  5 Sm 3.14-3.51
Sm  0.4398  0.2795  0.1603  6 Sm 3.34-3.59, 2 Pr 3.69, 1 Dy 3.69
Sm  0.4419  0.1027  0.3393  5 Sm 3.14-3.51
Sm  0.5581  0.8973  0.6607  5 Sm 3.14-3.51
Sm  0.5602  0.7205  0.8397  6 Sm 3.34-3.59, 2 Pr 3.69, 1 Dy 3.69
Sm  0.7634  0.1027  0.6607  5 Sm 3.14-3.51
Sm  0.8808  0.7205  0.1603  6 Sm 3.34-3.59, 2 Pr 3.69, 1 Dy 3.69
Dy  0.2022  0.5000  0.7022  1 Dy 3.25, 4 Pr 3.54-3.63, 4 Sm 3.60
Dy  0.5000  0.5000  0.0000  2 Dy 3.25
Dy  0.7978  0.5000  0.2978  1 Dy 3.25, 4 Pr 3.54-3.63, 4 Sm 3.60

## Properties
Formation energy = 99 meV/atom
Final energy = -0.3387 Ry/atom

No. 11
First-principles (GGA-PBE) data for a relaxed PrSm2Dy2 crystal, as listed in the Alexandria database.

Lattice parameters (Å, degrees): 6.3479 6.3479 9.4627 110.03 110.03 85.82
Closest atoms and distances in Å follow each position.
Fractional positions:
Pr  0.0722  0.9278  0.7500  6 Sm 3.46-3.56, 4 Dy 3.57-3.61
Pr  0.9278  0.0722  0.2500  6 Sm 3.46-3.56, 4 Dy 3.57-3.61
Sm  0.2190  0.3705  0.6616  4 Dy 3.32-3.60, 1 Sm 3.38, 3 Pr 3.46-3.56
Sm  0.3705  0.2190  0.1616  4 Dy 3.32-3.60, 1 Sm 3.38, 3 Pr 3.46-3.56
Sm  0.6295  0.7810  0.8384  4 Dy 3.32-3.60, 1 Sm 3.38, 3 Pr 3.46-3.56
Sm  0.7810  0.6295  0.3384  4 Dy 3.32-3.60, 1 Sm 3.38, 3 Pr 3.46-3.56
Dy  0.2509  0.6660  0.0474  4 Sm 3.32-3.60, 2 Dy 3.54-3.62, 2 Pr 3.57-3.61
Dy  0.3340  0.7491  0.4526  4 Sm 3.32-3.60, 2 Dy 3.54-3.62, 2 Pr 3.57-3.61
Dy  0.6660  0.2509  0.5474  4 Sm 3.32-3.60, 2 Dy 3.54-3.62, 2 Pr 3.57-3.61
Dy  0.7491  0.3340  0.9526  4 Sm 3.32-3.60, 2 Dy 3.54-3.62, 2 Pr 3.57-3.61

## Properties
Formation energy = 125 meV/atom
Final energy = -0.3351 Ry/atom

No. 12
First-principles (GGA-PBE) data for a relaxed Pr7SmDy4 crystal, as listed in the Alexandria database.

Lattice parameters (Å, degrees): 8.6994 8.6994 9.5242 114.85 114.85 40.84
Closest atoms and distances in Å follow each position.
Fractional positions:
Pr  0.0000  0.0000  0.0000  2 Sm 3.04
Pr  0.2876  0.2876  0.1165  6 Pr 3.37-3.70, 2 Dy 3.74
Pr  0.2876  0.2876  0.7629  1 Sm 3.17, 4 Dy 3.24-3.54, 2 Pr 3.37-3.48
Pr  0.4145  0.4145  0.5510  3 Pr 3.34-3.70, 3 Dy 3.50-3.57
Pr  0.5855  0.5855  0.4490  3 Pr 3.34-3.70, 3 Dy 3.50-3.57
Pr  0.7124  0.7124  0.2371  1 Sm 3.17, 4 Dy 3.24-3.54, 2 Pr 3.37-3.48
Pr  0.7124  0.7124  0.8835  6 Pr 3.37-3.70, 2 Dy 3.74
Sm  0.5000  0.5000  0.0000  4 Pr 3.04-3.17
Dy  0.0708  0.0708  0.6977  2 Pr 3.30-3.55, 2 Dy 3.42-3.64
Dy  0.1699  0.1699  0.3833  7 Pr 3.24-3.57
Dy  0.8301  0.8301  0.6167  7 Pr 3.24-3.57
Dy  0.9292  0.9292  0.3023  2 Pr 3.30-3.55, 2 Dy 3.42-3.64

## Properties
Formation energy = 203 meV/atom
Excess energy over the best structure of this formula in the dataset = 194 meV/atom
Final energy = -0.3317 Ry/atom